PbAuO3: relaxed, PBE.

```
PbAuO3
1.0
2.943 1.699 4.560
-2.943 1.699 4.560
0.000 -3.398 4.560
Pb Au O
2 2 6
Cartesian
0.000 0.000 3.420
0.000 0.000 10.260
0.000 0.000 0.000
0.000 0.000 6.840
-1.763 0.344 5.700
-1.179 -1.355 7.980
0.584 -1.699 5.700
-0.584 1.699 7.980
1.179 1.355 5.700
1.763 -0.344 7.980
```

* space group: No. 167
* uncorrected energy: -0.345 Ry/atom

---

PbAuO3: relaxed, PBE.

```
PbAuO3
1.0
4.047 0.000 0.000
0.000 4.047 0.000
0.000 0.000 4.285
Pb Au O
1 1 3
Cartesian
0.000 0.000 0.000
2.023 2.023 2.357
0.000 2.023 2.734
2.023 0.000 2.734
2.023 2.023 0.266
```

* space group: No. 99
* uncorrected energy: -0.339 Ry/atom

---

Look up the uncorrected energy of the first one. -0.345 Ry/atom